Record 1
A plane-wave DFT calculation with PBE was carried out for a relaxed NaLiBi2As crystal.

Results
* DFT total energy: -0.1079 Ha/atom

Cell lengths 5.1702, 5.1702, 4.9031 Å; angles 90.00, 90.00, 90.00 degrees
Sites, in units of the cell vectors:
Na: 0.0000 0.0000 0.0000
Li: 0.0000 0.0000 0.5000
Bi: 0.0000 0.5000 0.5000
Bi: 0.5000 0.0000 0.5000
As: 0.5000 0.5000 0.0000


Record 2
A plane-wave DFT calculation with PBE was carried out for a relaxed LiBi2AsO6 crystal.

Results
* E_form (uncorrected): -134.7 kJ/mol of atoms
* DFT total energy: -0.2133 Ha/atom

Cell lengths 5.3660, 5.9254, 9.3743 Å; angles 90.00, 124.63, 90.00 degrees
Sites, in units of the cell vectors:
Li: 0.0000 0.0000 0.0000
Li: 0.0000 0.5000 0.5000
Bi: 0.2255 0.0743 0.7349
Bi: 0.2255 0.4257 0.2349
Bi: 0.7745 0.5743 0.7651
Bi: 0.7745 0.9257 0.2651
As: 0.5000 0.0000 0.5000
As: 0.5000 0.5000 0.0000
O: 0.1811 0.1734 0.4737
O: 0.1811 0.3266 0.9737
O: 0.2617 0.7424 0.4452
O: 0.2617 0.7576 0.9452
O: 0.3445 0.0402 0.2641
O: 0.3445 0.4598 0.7641
O: 0.6555 0.5402 0.2359
O: 0.6555 0.9598 0.7359
O: 0.7383 0.2424 0.0548
O: 0.7383 0.2576 0.5548
O: 0.8189 0.6734 0.0263
O: 0.8189 0.8266 0.5263


Record 3
A plane-wave DFT calculation with PBE was carried out for a relaxed LiBiAs2O6 crystal.

Results
* E_form (uncorrected): -121.6 kJ/mol of atoms
* DFT total energy: -0.2111 Ha/atom

Cell lengths 6.9352, 6.9352, 6.9385 Å; angles 114.61, 114.61, 73.73 degrees
Sites, in units of the cell vectors:
Li: 0.2185 0.7815 0.7500
Li: 0.7815 0.2185 0.2500
Bi: 0.1724 0.8276 0.2500
Bi: 0.8276 0.1724 0.7500
As: 0.2640 0.3356 0.3021
As: 0.3356 0.2640 0.8021
As: 0.6644 0.7360 0.1979
As: 0.7360 0.6644 0.6979
O: 0.0420 0.1939 0.1720
O: 0.1807 0.6026 0.4371
O: 0.1939 0.0420 0.6720
O: 0.2451 0.4172 0.0435
O: 0.3974 0.8193 0.0629
O: 0.4172 0.2451 0.5435
O: 0.5828 0.7549 0.4565
O: 0.6026 0.1807 0.9371
O: 0.7549 0.5828 0.9565
O: 0.8061 0.9580 0.3280
O: 0.8193 0.3974 0.5629
O: 0.9580 0.8061 0.8280


Record 4
A plane-wave DFT calculation with PBE was carried out for a relaxed Li2BiAs2O7 crystal.

Results
* E_form (uncorrected): -134.3 kJ/mol of atoms
* DFT total energy: -0.2095 Ha/atom

Cell lengths 8.5749, 8.5749, 8.5749 Å; angles 36.58, 36.58, 36.58 degrees
Sites, in units of the cell vectors:
Li: 0.2430 0.2430 0.2430
Li: 0.7570 0.7570 0.7570
Bi: 0.5000 0.5000 0.5000
As: 0.0775 0.0775 0.0775
As: 0.9225 0.9225 0.9225
O: 0.0000 0.0000 0.0000
O: 0.1046 0.4073 0.7992
O: 0.2008 0.5927 0.8954
O: 0.4073 0.7992 0.1046
O: 0.5927 0.8954 0.2008
O: 0.7992 0.1046 0.4073
O: 0.8954 0.2008 0.5927


Record 5
A plane-wave DFT calculation with PBE was carried out for a relaxed LiBiAsPd crystal.

Results
* DFT total energy: -0.1544 Ha/atom

Cell lengths 4.7805, 4.7805, 4.7805 Å; angles 60.00, 60.00, 60.00 degrees
Sites, in units of the cell vectors:
Li: 0.0000 0.0000 0.0000
Bi: 0.7500 0.7500 0.7500
As: 0.2500 0.2500 0.2500
Pd: 0.5000 0.5000 0.5000


Record 6
A plane-wave DFT calculation with PBE was carried out for a relaxed LiBiAsRh crystal.

Results
* DFT total energy: -0.1734 Ha/atom

Cell lengths 4.6794, 4.6794, 4.6794 Å; angles 60.00, 60.00, 60.00 degrees
Sites, in units of the cell vectors:
Li: 0.0000 0.0000 0.0000
Bi: 0.7500 0.7500 0.7500
As: 0.2500 0.2500 0.2500
Rh: 0.5000 0.5000 0.5000


Record 7
A plane-wave DFT calculation with PBE was carried out for a relaxed Li4Bi3AsS8 crystal.

Results
* E_form (uncorrected): -65.4 kJ/mol of atoms
* DFT total energy: -0.1557 Ha/atom

Cell lengths 7.7505, 7.7505, 7.7505 Å; angles 60.61, 60.61, 60.61 degrees
Sites, in units of the cell vectors:
Li: 0.0000 0.0000 0.0000
Li: 0.0000 0.5000 0.5000
Li: 0.5000 0.0000 0.5000
Li: 0.5000 0.5000 0.0000
Bi: 0.0000 0.0000 0.5000
Bi: 0.0000 0.5000 0.0000
Bi: 0.5000 0.0000 0.0000
As: 0.5000 0.5000 0.5000
S: 0.2557 0.2557 0.2557
S: 0.2586 0.2586 0.7289
S: 0.2586 0.7289 0.2586
S: 0.2711 0.7414 0.7414
S: 0.7289 0.2586 0.2586
S: 0.7414 0.2711 0.7414
S: 0.7414 0.7414 0.2711
S: 0.7443 0.7443 0.7443


Record 8
A plane-wave DFT calculation with PBE was carried out for a relaxed LiBiAs2Se crystal.

Results
* E_form (uncorrected): 29.8 kJ/mol of atoms
* DFT total energy: -0.1252 Ha/atom

Cell lengths 4.6547, 4.6547, 4.9868 Å; angles 90.00, 90.00, 90.00 degrees
Sites, in units of the cell vectors:
Li: 0.0000 0.0000 0.0000
Bi: 0.5000 0.5000 0.5000
As: 0.0000 0.5000 0.0000
As: 0.5000 0.0000 0.0000
Se: 0.0000 0.0000 0.5000


Record 9
A plane-wave DFT calculation with PBE was carried out for a relaxed Li2BiAsSe4 crystal.

Results
* E_form (uncorrected): -58.9 kJ/mol of atoms
* DFT total energy: -0.1432 Ha/atom

Cell lengths 6.9319, 4.0066, 6.9665 Å; angles 90.00, 109.36, 90.00 degrees
Sites, in units of the cell vectors:
Li: 0.0000 0.0000 0.0000
Li: 0.0000 0.5000 0.5000
Bi: 0.5000 0.0000 0.5000
As: 0.5000 0.5000 0.0000
Se: 0.2409 0.5000 0.2281
Se: 0.2535 0.0000 0.7700
Se: 0.7465 0.0000 0.2300
Se: 0.7591 0.5000 0.7719


Record 10
A plane-wave DFT calculation with PBE was carried out for a relaxed Sr2LiBiAs crystal.

Results
* DFT total energy: -0.1287 Ha/atom

Cell lengths 6.0055, 6.0055, 4.7314 Å; angles 90.00, 90.00, 90.00 degrees
Sites, in units of the cell vectors:
Sr: 0.0000 0.5000 0.0000
Sr: 0.5000 0.0000 0.0000
Li: 0.0000 0.0000 0.5000
Bi: 0.5000 0.5000 0.5000
As: 0.0000 0.0000 0.0000


Record 11
A plane-wave DFT calculation with PBE was carried out for a relaxed LiTi2BiAs crystal.

Results
* DFT total energy: -0.1557 Ha/atom

Cell lengths 5.2698, 5.2698, 5.6709 Å; angles 90.00, 90.00, 90.00 degrees
Sites, in units of the cell vectors:
Li: 0.0000 0.0000 0.0000
Ti: 0.0000 0.5000 0.5000
Ti: 0.5000 0.0000 0.5000
Bi: 0.5000 0.5000 0.5000
As: 0.5000 0.5000 0.0000


Record 12
A plane-wave DFT calculation with PBE was carried out for a relaxed Mg2BiAs crystal.

Results
* DFT total energy: -0.1105 Ha/atom

Cell lengths 5.0882, 5.0882, 5.0882 Å; angles 60.00, 60.00, 60.00 degrees
Sites, in units of the cell vectors:
Mg: 0.2500 0.2500 0.2500
Mg: 0.7500 0.7500 0.7500
Bi: 0.0000 0.0000 0.0000
As: 0.5000 0.5000 0.5000


Record 13
A plane-wave DFT calculation with PBE was carried out for a relaxed Mg2BiAs2 crystal.

Results
* DFT total energy: -0.1280 Ha/atom

Cell lengths 7.9653, 7.9653, 3.5975 Å; angles 90.00, 90.00, 90.00 degrees
Sites, in units of the cell vectors:
Mg: 0.1386 0.3614 0.0000
Mg: 0.3614 0.8614 0.0000
Mg: 0.6386 0.1386 0.0000
Mg: 0.8614 0.6386 0.0000
Bi: 0.0000 0.0000 0.5000
Bi: 0.5000 0.5000 0.5000
As: 0.1629 0.6629 0.5000
As: 0.3371 0.1629 0.5000
As: 0.6629 0.8371 0.5000
As: 0.8371 0.3371 0.5000


Record 14
A plane-wave DFT calculation with PBE was carried out for a relaxed Mg2BiAs crystal.

Results
* DFT total energy: -0.1186 Ha/atom

Cell lengths 8.1613, 8.1613, 8.1613 Å; angles 27.02, 27.02, 27.02 degrees
Sites, in units of the cell vectors:
Mg: 0.2301 0.2301 0.2301
Mg: 0.7699 0.7699 0.7699
Bi: 0.0000 0.0000 0.0000
As: 0.5000 0.5000 0.5000


Record 15
A plane-wave DFT calculation with PBE was carried out for a relaxed MgBi3As crystal.

Results
* DFT total energy: -0.1055 Ha/atom

Cell lengths 5.4569, 5.4569, 5.4569 Å; angles 90.00, 90.00, 90.00 degrees
Sites, in units of the cell vectors:
Mg: 0.0000 0.0000 0.0000
Bi: 0.0000 0.0000 0.5000
Bi: 0.0000 0.5000 0.0000
Bi: 0.5000 0.0000 0.0000
As: 0.5000 0.5000 0.5000


Record 16
A plane-wave DFT calculation with PBE was carried out for a relaxed Mg2BiAs2 crystal.

Results
* DFT total energy: -0.1261 Ha/atom

Cell lengths 6.0246, 6.0246, 6.0246 Å; angles 132.46, 132.46, 69.50 degrees
Sites, in units of the cell vectors:
Mg: 0.2500 0.7500 0.5000
Mg: 0.7500 0.2500 0.5000
Bi: 0.0000 0.0000 0.0000
As: 0.3742 0.3742 0.0000
As: 0.6258 0.6258 0.0000


Record 17
A plane-wave DFT calculation with PBE was carried out for a relaxed MgBi2As2 crystal.

Results
* DFT total energy: -0.1357 Ha/atom

Cell lengths 7.8815, 7.8815, 4.1967 Å; angles 90.00, 90.00, 90.00 degrees
Sites, in units of the cell vectors:
Mg: 0.0000 0.0000 0.0000
Mg: 0.5000 0.5000 0.0000
Bi: 0.1565 0.3435 0.5000
Bi: 0.3435 0.8435 0.5000
Bi: 0.6565 0.1565 0.5000
Bi: 0.8435 0.6565 0.5000
As: 0.1677 0.6677 0.0000
As: 0.3323 0.1677 0.0000
As: 0.6677 0.8323 0.0000
As: 0.8323 0.3323 0.0000


Record 18
A plane-wave DFT calculation with PBE was carried out for a relaxed Mg5Bi2As crystal.

Results
* DFT total energy: -0.1027 Ha/atom

Cell lengths 9.7496, 4.8586, 19.7531 Å; angles 90.00, 90.00, 90.00 degrees
Sites, in units of the cell vectors:
Mg: 0.0830 0.2500 0.1628
Mg: 0.1151 0.2500 0.9897
Mg: 0.1247 0.2500 0.6733
Mg: 0.1366 0.2500 0.4962
Mg: 0.1867 0.2500 0.3329
Mg: 0.3133 0.7500 0.8329
Mg: 0.3634 0.7500 0.9962
Mg: 0.3753 0.7500 0.1733
Mg: 0.3849 0.7500 0.4897
Mg: 0.4170 0.7500 0.6628
Mg: 0.5830 0.2500 0.3372
Mg: 0.6151 0.2500 0.5103
Mg: 0.6247 0.2500 0.8267
Mg: 0.6366 0.2500 0.0038
Mg: 0.6867 0.2500 0.1671
Mg: 0.8133 0.7500 0.6671
Mg: 0.8634 0.7500 0.5038
Mg: 0.8753 0.7500 0.3267
Mg: 0.8849 0.7500 0.0103
Mg: 0.9170 0.7500 0.8372
Bi: 0.1251 0.7500 0.2504
Bi: 0.1275 0.7500 0.5855
Bi: 0.3725 0.2500 0.0855
Bi: 0.3749 0.2500 0.7504
Bi: 0.6251 0.7500 0.2496
Bi: 0.6275 0.7500 0.9145
Bi: 0.8725 0.2500 0.4145
Bi: 0.8749 0.2500 0.7496
As: 0.1184 0.7500 0.9295
As: 0.3816 0.2500 0.4295
As: 0.6184 0.7500 0.5705
As: 0.8816 0.2500 0.0705


Record 19
A plane-wave DFT calculation with PBE was carried out for a relaxed MgBi3As crystal.

Results
* DFT total energy: -0.1127 Ha/atom

Cell lengths 5.5903, 5.5903, 5.5903 Å; angles 90.00, 90.00, 90.00 degrees
Sites, in units of the cell vectors:
Mg: 0.0000 0.0000 0.0000
Bi: 0.0000 0.5000 0.5000
Bi: 0.5000 0.0000 0.5000
Bi: 0.5000 0.5000 0.0000
As: 0.5000 0.5000 0.5000


Record 20
A plane-wave DFT calculation with PBE was carried out for a relaxed MgBi2As2 crystal.

Results
* DFT total energy: -0.1351 Ha/atom

Cell lengths 5.8064, 5.8064, 5.8064 Å; angles 118.89, 118.89, 91.93 degrees
Sites, in units of the cell vectors:
Mg: 0.0000 0.0000 0.0000
Bi: 0.2500 0.7500 0.5000
Bi: 0.7500 0.2500 0.5000
As: 0.3259 0.3259 0.0000
As: 0.6741 0.6741 0.0000


Record 21
A plane-wave DFT calculation with PBE was carried out for a relaxed Mg2BiAs crystal.

Results
* DFT total energy: -0.1154 Ha/atom

Cell lengths 6.4238, 6.4238, 6.4238 Å; angles 104.00, 104.00, 121.09 degrees
Sites, in units of the cell vectors:
Mg: 0.0738 0.6250 0.9488
Mg: 0.3750 0.3238 0.4488
Mg: 0.6762 0.1250 0.0512
Mg: 0.8750 0.9262 0.5512
Bi: 0.2500 0.7500 0.5000
Bi: 0.5000 0.5000 0.0000
As: 0.0000 0.0000 0.0000
As: 0.7500 0.2500 0.5000


Record 22
A plane-wave DFT calculation with PBE was carried out for a relaxed Mg2BiAs crystal.

Results
* DFT total energy: -0.1169 Ha/atom

Cell lengths 7.4276, 7.4276, 7.4276 Å; angles 31.71, 31.71, 31.71 degrees
Sites, in units of the cell vectors:
Mg: 0.0000 0.0000 0.0000
Mg: 0.2102 0.2102 0.2102
Bi: 0.4382 0.4382 0.4382
As: 0.6054 0.6054 0.6054


Record 23
A plane-wave DFT calculation with PBE was carried out for a relaxed MgNbBiAs2 crystal.

Results
* DFT total energy: -0.1318 Ha/atom

Cell lengths 5.4646, 5.4646, 5.1519 Å; angles 90.00, 90.00, 90.00 degrees
Sites, in units of the cell vectors:
Mg: 0.0000 0.0000 0.0000
Nb: 0.5000 0.5000 0.0000
Bi: 0.0000 0.0000 0.5000
As: 0.0000 0.5000 0.5000
As: 0.5000 0.0000 0.5000